Record 1
A relaxed MgSb2W crystal, computed with GGA-PBEsol.

Properties
Theoretical density ... 8.84 Mg/m³
Uncorrected formation energy ... 372 meV/atom
Polymorph energy (0 for the lowest one) ... 0.176 eV/atom

Unit cell a=3.4065 b=3.4065 c=7.3152 alpha=90.00 beta=90.00 gamma=90.00
Closest atoms and distances in Å follow each position.
Space group P4mm (No. 99)
Unique sites:
Mg1 0.0000 0.0000 0.0000 [1 per cell]  4 W 2.87, 5 Sb 2.93-2.97
Sb1 0.0000 0.0000 0.5990 [1 per cell]  4 W 2.77, 1 Mg 2.93
Sb2 0.5000 0.5000 0.2371 [1 per cell]  4 Mg 2.97, 1 W 3.30
W1 0.5000 0.5000 0.7862 [1 per cell]  4 Sb 2.77, 4 Mg 2.87

=====

Record 2
A relaxed FeHgRh3 crystal, computed with GGA-PBEsol.

Properties
DFT formation energy ... 97.1 kJ/mol of atoms
Theoretical density ... 11.12 Mg/m³

Unit cell a=4.3860 b=4.3860 c=4.3860 alpha=90.00 beta=90.00 gamma=90.00
Closest atoms and distances in Å follow each position.
Space group Pm-3m (No. 221)
Unique sites:
Fe1 0.0000 0.0000 0.0000 [1 per cell]  6 Rh 2.19
Hg1 0.5000 0.5000 0.5000 [1 per cell]  12 Rh 3.10
Rh1 0.0000 0.0000 0.5000 [3 per cell]  2 Fe 2.19

=====

Record 3
A relaxed BeCu2Mo crystal, computed with GGA-PBEsol.

Properties
DFT formation energy ... 24.7 kJ/mol of atoms
Theoretical density ... 8.02 Mg/m³

Unit cell a=4.9182 b=8.7603 c=2.4134 alpha=90.00 beta=112.40 gamma=90.00
Closest atoms and distances in Å follow each position.
Space group C2/m (No. 12)
Unique sites:
Be1 0.0000 0.0000 0.0000 [2 per cell]  2 Be 2.41, 2 Mo 2.46, 4 Cu 2.58
Cu1 0.2500 0.2500 0.5000 [4 per cell]  4 Cu 2.41-2.46, 2 Mo 2.58, 2 Be 2.58
Mo1 0.0000 0.5000 0.0000 [2 per cell]  2 Mo 2.41, 2 Be 2.46, 4 Cu 2.58

=====

Record 4
A relaxed Sc2CuOs crystal, computed with GGA-PBEsol.

Properties
DFT formation energy ... -38.0 kJ/mol of atoms
Theoretical density ... 8.82 Mg/m³
Polymorph energy (0 for the lowest one) ... 0.000 eV/atom

Unit cell a=6.3740 b=6.3740 c=6.3740 alpha=90.00 beta=90.00 gamma=90.00
Closest atoms and distances in Å follow each position.
Space group Fm-3m (No. 225)
Unique sites:
Sc1 0.2500 0.2500 0.2500 [8 per cell]  4 Os 2.76, 4 Cu 2.76
Cu1 0.0000 0.0000 0.0000 [4 per cell]  8 Sc 2.76
Os1 0.0000 0.0000 0.5000 [4 per cell]  8 Sc 2.76

=====

Record 5
A relaxed BaCa2H2 crystal, computed with GGA-PBEsol.

Properties
Energy ... -2.913 eV per atom
Theoretical density ... 2.71 Mg/m³

Unit cell a=3.8386 b=3.8386 c=18.2514 alpha=90.00 beta=90.00 gamma=90.00
Closest atoms and distances in Å follow each position.
Space group I4/mmm (No. 139)
Unique sites:
Ba1 0.0000 0.0000 0.0000 [2 per cell]  4 Ba 3.84, 8 Ca 4.30
Ca1 0.0000 0.0000 0.3174 [4 per cell]  4 H 2.28
H1 0.0000 0.5000 0.2500 [4 per cell]  4 Ca 2.28

=====

Record 6
A relaxed K2LiCd crystal, computed with GGA-PBEsol.

Properties
DFT formation energy ... 6.4 kJ/mol of atoms
Theoretical density ... 1.99 Mg/m³

Unit cell a=5.0822 b=4.8969 c=13.2367 alpha=90.00 beta=90.00 gamma=90.00
Closest atoms and distances in Å follow each position.
Space group Amm2 (No. 38)
Unique sites:
K1 0.0000 0.0000 0.0000 [2 per cell]  3 Cd 3.68-3.87, 4 Li 3.81
K2 0.5000 0.0000 0.3033 [2 per cell]  2 Li 3.57, 4 Cd 3.75
Li1 0.5000 0.0000 0.6076 [2 per cell]  2 Cd 2.86
Cd1 0.0000 0.0000 0.7073 [2 per cell]  2 Li 2.86

=====

Record 7
A relaxed Cd2GaSiB crystal, computed with GGA-PBEsol.

Properties
Theoretical density ... 6.11 Mg/m³
Uncorrected formation energy ... 592 meV/atom

Unit cell a=4.9727 b=4.9727 c=3.6657 alpha=90.00 beta=90.00 gamma=90.00
Closest atoms and distances in Å follow each position.
Space group P4/mmm (No. 123)
Unique sites:
Cd1 0.0000 0.5000 0.0000 [2 per cell]  2 B 2.49
Ga1 0.0000 0.0000 0.5000 [1 per cell]  8 Cd 3.09
Si1 0.5000 0.5000 0.5000 [1 per cell]  2 B 1.83
B1 0.5000 0.5000 0.0000 [1 per cell]  2 Si 1.83

=====

Record 8
A relaxed MnCoSb2 crystal, computed with GGA-PBEsol.

Properties
Theoretical density ... 8.90 Mg/m³
Uncorrected formation energy ... 131 meV/atom
Polymorph energy (0 for the lowest one) ... 0.000 eV/atom

Unit cell a=3.5648 b=3.5648 c=5.2462 alpha=90.00 beta=90.00 gamma=90.00
Closest atoms and distances in Å follow each position.
Space group P4mm (No. 99)
Unique sites:
Mn1 0.0000 0.0000 0.0000 [1 per cell]  6 Sb 2.52-2.72
Co1 0.5000 0.5000 0.6565 [1 per cell]  6 Sb 2.56-2.69
Sb1 0.0000 0.0000 0.5188 [1 per cell]  2 Mn 2.52-2.72, 4 Co 2.62
Sb2 0.5000 0.5000 0.1437 [1 per cell]  2 Co 2.56-2.69, 4 Mn 2.63

=====

> Which value of theoretical density does entry 4 give?

8.82 Mg/m³

=====

> What is the theoretical density in the eighth record?

8.90 Mg/m³